# Ba3As, optimized geometry, DFT GGA-PBE
# Distance to the lowest polymorph of the same formula: 237 meV/atom
# D(E_F): 1.044 states/eV/atom
# Formation enthalpy at 0 K: -379 meV/atom
# VASP energy: -2.984 eV per atom
data_Ba3As
_space_group_name_H-M_alt 'P 1'
_space_group_IT_number 1
_space_group_name_Hall 'P 1'
_cell_length_a 7.8512
_cell_length_b 7.8512
_cell_length_c 5.8166
_cell_angle_alpha 90.00
_cell_angle_beta 90.00
_cell_angle_gamma 120.00
loop_
_atom_site_label
_atom_site_type_symbol
_atom_site_fract_x
_atom_site_fract_y
_atom_site_fract_z
_atom_site_occupancy
Ba1 Ba 0.1818 0.3636 0.2500 1
Ba2 Ba 0.1818 0.8182 0.2500 1
Ba3 Ba 0.3636 0.1818 0.7500 1
Ba4 Ba 0.6364 0.8182 0.2500 1
Ba5 Ba 0.8182 0.1818 0.7500 1
Ba6 Ba 0.8182 0.6364 0.7500 1
As1 As 0.3333 0.6667 0.7500 1
As2 As 0.6667 0.3333 0.2500 1

***

# BaAs4, optimized geometry, DFT GGA-PBE
# Distance to the lowest polymorph of the same formula: 1718 meV/atom
# D(E_F): 1.531 states/eV/atom
# Formation enthalpy at 0 K: 1497 meV/atom
# VASP energy: -2.607 eV per atom
data_BaAs4
_space_group_name_H-M_alt 'P 1'
_space_group_IT_number 1
_space_group_name_Hall 'P 1'
_cell_length_a 5.7941
_cell_length_b 5.7941
_cell_length_c 5.7941
_cell_angle_alpha 90.00
_cell_angle_beta 90.00
_cell_angle_gamma 90.00
loop_
_atom_site_label
_atom_site_type_symbol
_atom_site_fract_x
_atom_site_fract_y
_atom_site_fract_z
_atom_site_occupancy
Ba1 Ba 0.0000 0.0000 0.0000 1
As1 As 0.0000 0.0000 0.5000 1
As2 As 0.0000 0.5000 0.0000 1
As3 As 0.5000 0.0000 0.0000 1
As4 As 0.5000 0.5000 0.5000 1

***

# Ba20As13, optimized geometry, DFT GGA-PBE
# D(E_F): 0.179 states/eV/atom
# Formation enthalpy at 0 K: -1072 meV/atom
# VASP energy: -4.069 eV per atom
data_Ba20As13
_space_group_name_H-M_alt 'P 1'
_space_group_IT_number 1
_space_group_name_Hall 'P 1'
_cell_length_a 36.1963
_cell_length_b 8.7453
_cell_length_c 36.5476
_cell_angle_alpha 80.82
_cell_angle_beta 13.80
_cell_angle_gamma 85.39
loop_
_atom_site_label
_atom_site_type_symbol
_atom_site_fract_x
_atom_site_fract_y
_atom_site_fract_z
_atom_site_occupancy
Ba1 Ba 0.0507 0.7173 0.5230 1
Ba2 Ba 0.0561 0.9733 0.8969 1
Ba3 Ba 0.1431 0.1725 0.5853 1
Ba4 Ba 0.1509 0.6647 0.0775 1
Ba5 Ba 0.1534 0.3693 0.9963 1
Ba6 Ba 0.1725 0.1431 0.0991 1
Ba7 Ba 0.1763 0.3531 0.2767 1
Ba8 Ba 0.1846 0.8228 0.2711 1
Ba9 Ba 0.2537 0.7690 0.0966 1
Ba10 Ba 0.2642 0.5273 0.7102 1
Ba11 Ba 0.3394 0.4835 0.2810 1
Ba12 Ba 0.3531 0.1763 0.1939 1
Ba13 Ba 0.3540 0.9690 0.7665 1
Ba14 Ba 0.3693 0.1534 0.4810 1
Ba15 Ba 0.3725 0.6275 0.4760 1
Ba16 Ba 0.3812 0.9257 0.2984 1
Ba17 Ba 0.4695 0.5879 0.2812 1
Ba18 Ba 0.4835 0.3394 0.8960 1
Ba19 Ba 0.5273 0.2642 0.4984 1
Ba20 Ba 0.5285 0.9789 0.4272 1
Ba21 Ba 0.5398 0.7516 0.9858 1
Ba22 Ba 0.5409 0.7270 0.5327 1
Ba23 Ba 0.5879 0.4695 0.6614 1
Ba24 Ba 0.5886 0.9688 0.6621 1
Ba25 Ba 0.6275 0.3725 0.5240 1
Ba26 Ba 0.6647 0.1509 0.1069 1
Ba27 Ba 0.7173 0.0507 0.7091 1
Ba28 Ba 0.7260 0.7740 0.6225 1
Ba29 Ba 0.7270 0.5409 0.1993 1
Ba30 Ba 0.7516 0.5398 0.7227 1
Ba31 Ba 0.7690 0.2537 0.8807 1
Ba32 Ba 0.7740 0.7260 0.8775 1
Ba33 Ba 0.8228 0.1846 0.7215 1
Ba34 Ba 0.8552 0.9516 0.3243 1
Ba35 Ba 0.9257 0.3812 0.3948 1
Ba36 Ba 0.9516 0.8552 0.8688 1
Ba37 Ba 0.9690 0.3540 0.9106 1
Ba38 Ba 0.9688 0.5886 0.7805 1
Ba39 Ba 0.9733 0.0561 0.0737 1
Ba40 Ba 0.9789 0.5285 0.0654 1
As1 As 0.0931 0.2988 0.7104 1
As2 As 0.1037 0.5596 0.5692 1
As3 As 0.1553 0.4955 0.3721 1
As4 As 0.1632 0.7596 0.7358 1
As5 As 0.2729 0.8779 0.7545 1
As6 As 0.2966 0.8844 0.4806 1
As7 As 0.2988 0.0931 0.8977 1
As8 As 0.2986 0.3534 0.7757 1
As9 As 0.3523 0.5396 0.9512 1
As10 As 0.3534 0.2986 0.5723 1
As11 As 0.4743 0.6777 0.9514 1
As12 As 0.4825 0.6808 0.6904 1
As13 As 0.4955 0.1553 0.9771 1
As14 As 0.5142 0.9086 0.0868 1
As15 As 0.5396 0.3523 0.1569 1
As16 As 0.5596 0.1037 0.7675 1
As17 As 0.6777 0.4743 0.8966 1
As18 As 0.6808 0.4825 0.1463 1
As19 As 0.7082 0.7082 0.2918 1
As20 As 0.7596 0.1632 0.3414 1
As21 As 0.7694 0.9116 0.9534 1
As22 As 0.8779 0.2729 0.0947 1
As23 As 0.8844 0.2966 0.3384 1
As24 As 0.9086 0.5142 0.4904 1
As25 As 0.9116 0.7694 0.3656 1
As26 As 0.9582 0.9582 0.5418 1

***

# Ba3As4, optimized geometry, DFT GGA-PBE
# D(E_F): 0.491 states/eV/atom
# Formation enthalpy at 0 K: -661 meV/atom
# VASP energy: -4.142 eV per atom
data_Ba3As4
_space_group_name_H-M_alt 'P 1'
_space_group_IT_number 1
_space_group_name_Hall 'P 1'
_cell_length_a 11.7111
_cell_length_b 11.7111
_cell_length_c 11.7111
_cell_angle_alpha 156.79
_cell_angle_beta 156.79
_cell_angle_gamma 33.05
loop_
_atom_site_label
_atom_site_type_symbol
_atom_site_fract_x
_atom_site_fract_y
_atom_site_fract_z
_atom_site_occupancy
Ba1 Ba 0.0000 0.0000 0.0000 1
Ba2 Ba 0.3129 0.3129 0.0000 1
Ba3 Ba 0.6871 0.6871 0.0000 1
As1 As 0.1568 0.1568 0.0000 1
As2 As 0.4499 0.4499 0.0000 1
As3 As 0.5501 0.5501 0.0000 1
As4 As 0.8432 0.8432 0.0000 1

***

# Ba2BeAs, optimized geometry, DFT GGA-PBE
# Distance to the lowest polymorph of the same formula: 251 meV/atom
# D(E_F): 0.438 states/eV/atom
# Formation enthalpy at 0 K: -179 meV/atom
# VASP energy: -3.234 eV per atom
data_Ba2BeAs
_space_group_name_H-M_alt 'P 1'
_space_group_IT_number 1
_space_group_name_Hall 'P 1'
_cell_length_a 5.4571
_cell_length_b 5.4571
_cell_length_c 4.2796
_cell_angle_alpha 90.00
_cell_angle_beta 90.00
_cell_angle_gamma 90.00
loop_
_atom_site_label
_atom_site_type_symbol
_atom_site_fract_x
_atom_site_fract_y
_atom_site_fract_z
_atom_site_occupancy
Ba1 Ba 0.0000 0.5000 0.0000 1
Ba2 Ba 0.5000 0.0000 0.0000 1
Be1 Be 0.0000 0.0000 0.5000 1
As1 As 0.5000 0.5000 0.5000 1

***

# Ba2BeAs, optimized geometry, DFT GGA-PBE
# Distance to the lowest polymorph of the same formula: 433 meV/atom
# D(E_F): 1.142 states/eV/atom
# Formation enthalpy at 0 K: 3 meV/atom
# VASP energy: -3.052 eV per atom
data_Ba2BeAs
_space_group_name_H-M_alt 'P 1'
_space_group_IT_number 1
_space_group_name_Hall 'P 1'
_cell_length_a 4.7820
_cell_length_b 4.7820
_cell_length_c 6.7182
_cell_angle_alpha 90.00
_cell_angle_beta 90.00
_cell_angle_gamma 90.00
loop_
_atom_site_label
_atom_site_type_symbol
_atom_site_fract_x
_atom_site_fract_y
_atom_site_fract_z
_atom_site_occupancy
Ba1 Ba 0.0000 0.0000 0.0000 1
Ba2 Ba 0.5000 0.5000 0.4996 1
Be1 Be 0.0000 0.0000 0.5008 1
As1 As 0.5000 0.5000 0.9993 1

***

no.,M_tot (μB/atom)
1,0.000
2,0.155
3,0.030
4,0.000
5,0.000
6,0.167